Material: CsAlVF6
Method: DFT, PBE+U
State: relaxed

a b c (Å): 7.5358 7.2187 7.3463
angles (deg): 119.43 120.86 90.00
With the nearest neighbours (Å) after each atom.
Atoms (fractional coordinates):
F 0.4507 0.0886 0.2435  1 Al 1.82
V 0.0000 0.0000 0.5000  6 F 2.10-2.14
F 0.2072 0.3451 0.7565  1 Al 1.82
F 0.5493 0.3451 0.7565  1 Al 1.82
F 0.7928 0.0886 0.2435  1 Al 1.82
F 0.5386 0.2886 0.0772  2 Al 1.85
F 0.8401 0.0901 0.6802  2 V 2.10
Al 0.5000 0.0000 0.0000  6 F 1.82-1.85
Cs 0.8672 0.6172 0.7345  5 F 3.03-3.22
Al 0.5000 0.5000 0.0000  6 F 1.82-1.85
F 0.2072 0.9114 0.7565  1 Al 1.82
F 0.5493 0.9114 0.7565  1 Al 1.82
F 0.1599 0.9099 0.3198  2 V 2.10
V 0.5000 0.0000 0.5000  6 F 2.10-2.14
Cs 0.1328 0.3828 0.2655  5 F 3.03-3.22
F 0.4507 0.6549 0.2435  1 Al 1.82
F 0.4614 0.7114 0.9228  2 Al 1.85
F 0.7928 0.6549 0.2435  1 Al 1.82

Results
Density in g cm⁻³: 3.83
Energy in eV for the cell shown: -103.61
Symmetry: Imma (74)